# Mn5VCr4

A relaxed structure of Mn5VCr4 (PBE, Alexandria).

For the formation energy, the calculation gives 1 kJ/mol of formula units.

Lattice parameters (Å, degrees): 2.827 2.827 14.193 90.00 90.00 90.00
Fractional coordinates of all 10 atoms:
Mn 0.500 0.500 0.102
Mn 0.500 0.500 0.302
Mn 0.500 0.500 0.500
Mn 0.500 0.500 0.698
Mn 0.500 0.500 0.898
V 0.000 0.000 0.000
Cr 0.000 0.000 0.201
Cr 0.000 0.000 0.400
Cr 0.000 0.000 0.600
Cr 0.000 0.000 0.799